No. 1
Entry from the Alexandria database: CdPbS2Br at its PBEsol-relaxed geometry (meta-GGA SCAN).

Calculated values
Calculated volume = 144.25 Å³ per cell
D(E_F) = 2.6 states/eV/cell
Raw total energy = -143.7 eV/f.u.
Magnetization = 0.00 μB per cell
Space group = P4/mmm, No. 123

abc: 5.102 5.102 5.542
angles: 90.00 90.00 90.00
Atoms (fractional coordinates):
Pb  0.000  0.000  0.000
S  0.000  0.500  0.000
S  0.500  0.000  0.000
Br  0.000  0.000  0.500
Cd  0.500  0.500  0.500

---

No. 2
Entry from the Alexandria database: ZrBr2 at its PBEsol-relaxed geometry (meta-GGA SCAN).

Calculated values
Calculated volume = 482.38 Å³ per cell
D(E_F) = 7.7 states/eV/cell
Raw total energy = -73.8 eV/f.u.
Magnetization = 2.05 μB per cell
Space group = R-3, No. 148

abc: 8.346 8.346 8.346
angles: 107.13 107.13 107.13
Atoms (fractional coordinates):
Br  0.316  0.921  0.770
Br  0.770  0.316  0.921
Br  0.921  0.770  0.316
Br  0.684  0.079  0.230
Br  0.230  0.684  0.079
Br  0.079  0.230  0.684
Br  0.455  0.377  0.148
Br  0.148  0.455  0.377
Br  0.377  0.148  0.455
Br  0.545  0.623  0.852
Br  0.852  0.545  0.623
Br  0.623  0.852  0.545
Zr  0.293  0.031  0.098
Zr  0.098  0.293  0.031
Zr  0.031  0.098  0.293
Zr  0.707  0.969  0.902
Zr  0.902  0.707  0.969
Zr  0.969  0.902  0.707

---

The lowest D(E_F) belongs to which entry?
CdPbS2Br

---

Look up the raw total energy of the second one.
-73.8 eV/f.u.

---

Number 1 is which compound?
CdPbS2Br